VASP calculation (PBE) on a geometry-optimized LiWCl2 structure.

Calculated values
Formation energy (no corrections) in eV/f.u.: 3.6
D(E_F) in states/eV per atom: 0.8220
E above lowest polymorph in eV per formula unit: 5.39

Cell lengths 4.8502, 4.8502, 4.8502 Å; angles 60.00, 60.00, 60.00 degrees
With the nearest neighbours (Å) after each atom.
Sites, in units of the cell vectors:
1 Li 0.0000 0.0000 0.0000  4 Cl 2.97, 4 W 2.97
2 W 0.2500 0.2500 0.2500  4 Cl 2.97, 4 Li 2.97
3 Cl 0.5000 0.5000 0.5000  4 Cl 2.97, 4 W 2.97
4 Cl 0.7500 0.7500 0.7500  4 Cl 2.97, 4 Li 2.97

---

VASP calculation (PBE) on a geometry-optimized LiWCl2 structure.

Calculated values
Formation energy (no corrections) in eV/f.u.: -0.2
D(E_F) in states/eV per atom: 0.3788
E above lowest polymorph in eV per formula unit: 1.53

Cell lengths 3.0530, 4.8855, 4.6849 Å; angles 90.00, 108.98, 90.00 degrees
With the nearest neighbours (Å) after each atom.
Sites, in units of the cell vectors:
1 Li 0.0000 0.0000 0.0000  3 Cl 2.38-2.59
2 W 0.3584 0.5000 0.7141  5 Cl 2.47-2.51
3 Cl 0.2947 0.0000 0.5857  3 Li 2.38-2.59, 2 W 2.51
4 Cl 0.6396 0.5000 0.2726  3 W 2.47-2.48

---

VASP calculation (PBE) on a geometry-optimized LiWCl2 structure.

Calculated values
Formation energy (no corrections) in eV/f.u.: -1.8
D(E_F) in states/eV per atom: 0.3896
E above lowest polymorph in eV per formula unit: 0.00

Cell lengths 8.0856, 8.0856, 8.0856 Å; angles 22.07, 22.07, 22.07 degrees
With the nearest neighbours (Å) after each atom.
Sites, in units of the cell vectors:
1 Li 0.0000 0.0000 0.0000  6 Cl 2.38
2 W 0.5000 0.5000 0.5000  2 Cl 2.37
3 Cl 0.3997 0.3997 0.3997  1 W 2.37, 3 Li 2.38
4 Cl 0.6003 0.6003 0.6003  1 W 2.37, 3 Li 2.38

---

VASP calculation (PBE) on a geometry-optimized LiWCl2 structure.

Calculated values
Formation energy (no corrections) in eV/f.u.: 0.0
D(E_F) in states/eV per atom: 0.3954
E above lowest polymorph in eV per formula unit: 1.80

Cell lengths 10.3806, 10.3806, 10.3806 Å; angles 17.27, 17.27, 17.27 degrees
With the nearest neighbours (Å) after each atom.
Sites, in units of the cell vectors:
1 Li 0.0000 0.0000 0.0000  6 Li 3.12, 2 Cl 3.36
2 W 0.5000 0.5000 0.5000  6 Cl 2.51
3 Cl 0.1096 0.1096 0.1096  3 W 2.51
4 Cl 0.8904 0.8904 0.8904  3 W 2.51

---

VASP calculation (PBE) on a geometry-optimized LiWCl structure.

Calculated values
Formation energy (no corrections) in eV/f.u.: 2.0
D(E_F) in states/eV per atom: 0.9945
E above lowest polymorph in eV per formula unit: 1.44

Cell lengths 4.3173, 4.3173, 2.8121 Å; angles 90.00, 90.00, 120.00 degrees
With the nearest neighbours (Å) after each atom.
Sites, in units of the cell vectors:
1 Li 0.0000 0.0000 0.0000  2 Li 2.81, 6 Cl 2.86, 6 W 2.86
2 W 0.6667 0.3333 0.5000  3 Cl 2.49
3 Cl 0.3333 0.6667 0.5000  3 W 2.49

---

VASP calculation (PBE) on a geometry-optimized LiWCl structure.

Calculated values
Formation energy (no corrections) in eV/f.u.: 0.6
D(E_F) in states/eV per atom: 1.0334
E above lowest polymorph in eV per formula unit: 0.00

Cell lengths 2.9548, 2.9548, 6.2252 Å; angles 90.00, 90.00, 120.00 degrees
With the nearest neighbours (Å) after each atom.
Sites, in units of the cell vectors:
1 Li 0.0000 0.0000 0.0000  3 Cl 2.61, 3 W 2.87
2 W 0.6667 0.3333 0.3717  3 Cl 2.58, 3 Li 2.87
3 Cl 0.3333 0.6667 0.6836  3 W 2.58, 3 Li 2.61